No. 1
LaZrAs4: optimized geometry, PBE-GGA.

Total magnetization (Bohr magnetons per cell): 0.99
ρ (g cm⁻³): 6.75
Fermi-level density of states (states/eV per atom): 0.775
Volume (Å³/cell): 130.4
Formation enthalpy at 0 K (eV/atom): -0.19

a = 5.6922 Å, b = 5.6922 Å, c = 5.6922 Å
α = 60.00°, β = 60.00°, γ = 60.00°
With the nearest neighbours (Å) after each atom.
Fractional positions:
As: 0.3735 0.3735 0.3735  6 As 2.81-2.88
As: 0.3735 0.3735 0.8795  6 As 2.81-2.88
Zr: 0.0000 0.0000 0.0000  12 As 3.33, 4 La 3.49
As: 0.3735 0.8795 0.3735  6 As 2.81-2.88
As: 0.8795 0.3735 0.3735  6 As 2.81-2.88
La: 0.7500 0.7500 0.7500  12 As 3.34, 4 Zr 3.49

---

No. 2
LaZr2As: optimized geometry, PBE-GGA.

Total magnetization (Bohr magnetons per cell): 0.00
ρ (g cm⁻³): 6.45
Fermi-level density of states (states/eV per atom): 1.279
Volume (Å³/cell): 102.0
Formation enthalpy at 0 K (eV/atom): -0.39

a = 9.0712 Å, b = 9.0712 Å, c = 9.0712 Å
α = 23.24°, β = 23.24°, γ = 23.24°
With the nearest neighbours (Å) after each atom.
Fractional positions:
As: 0.2500 0.2500 0.2500  6 Zr 2.68
La: 0.7500 0.7500 0.7500  6 Zr 3.48, 6 La 3.65
Zr: 0.5211 0.5211 0.5211  3 As 2.68
Zr: 0.9789 0.9789 0.9789  3 As 2.68

---

No. 3
LaZr2As: optimized geometry, PBE-GGA.

Total magnetization (Bohr magnetons per cell): 0.00
ρ (g cm⁻³): 6.93
Fermi-level density of states (states/eV per atom): 0.822
Volume (Å³/cell): 95.0
Formation enthalpy at 0 K (eV/atom): -0.42

a = 5.4996 Å, b = 5.4996 Å, c = 5.4687 Å
α = 74.33°, β = 74.33°, γ = 36.80°
With the nearest neighbours (Å) after each atom.
Fractional positions:
Zr: 0.0374 0.0374 0.9568  2 As 2.79, 1 La 3.09, 2 Zr 3.12
Zr: 0.4626 0.4626 0.5432  2 As 2.79, 1 La 3.09, 2 Zr 3.12
As: 0.7500 0.7500 0.7500  4 Zr 2.79
La: 0.2500 0.2500 0.2500  6 Zr 3.09-3.44, 4 As 3.24

---

No. 4
LaZr2As: optimized geometry, PBE-GGA.

Total magnetization (Bohr magnetons per cell): 0.00
ρ (g cm⁻³): 6.95
Fermi-level density of states (states/eV per atom): 0.773
Volume (Å³/cell): 94.6
Formation enthalpy at 0 K (eV/atom): -0.42

a = 3.5966 Å, b = 3.5966 Å, c = 7.3170 Å
α = 90.00°, β = 90.00°, γ = 90.00°
With the nearest neighbours (Å) after each atom.
Fractional positions:
La: 0.5000 0.5000 0.7500  8 Zr 3.40, 4 La 3.60, 2 As 3.66
Zr: 0.0000 0.0000 0.0594  1 Zr 2.79, 4 As 2.90
As: 0.5000 0.5000 0.2500  8 Zr 2.90
Zr: 0.0000 0.0000 0.4406  1 Zr 2.79, 4 As 2.90

---

No. 5
LaZr2As: optimized geometry, PBE-GGA.

Total magnetization (Bohr magnetons per cell): 0.00
ρ (g cm⁻³): 6.57
Fermi-level density of states (states/eV per atom): 1.220
Volume (Å³/cell): 100.2
Formation enthalpy at 0 K (eV/atom): -0.26

a = 5.0191 Å, b = 3.7960 Å, c = 5.3044 Å
α = 82.50°, β = 90.00°, γ = 90.00°
With the nearest neighbours (Å) after each atom.
Fractional positions:
La: 0.5000 0.7500 0.7500  2 As 3.05, 4 Zr 3.30
Zr: 0.0000 0.3846 0.4743  2 Zr 2.71-2.97, 2 As 2.85
Zr: 0.0000 0.1154 0.0257  2 Zr 2.71-2.97, 2 As 2.85
As: 0.5000 0.2500 0.2500  4 Zr 2.85, 2 La 3.05

---

No. 6
LaZr2As: optimized geometry, PBE-GGA.

Total magnetization (Bohr magnetons per cell): 0.00
ρ (g cm⁻³): 6.55
Fermi-level density of states (states/eV per atom): 1.114
Volume (Å³/cell): 100.4
Formation enthalpy at 0 K (eV/atom): -0.38

a = 6.1181 Å, b = 6.1181 Å, c = 6.1181 Å
α = 146.58°, β = 126.36°, γ = 64.69°
With the nearest neighbours (Å) after each atom.
Fractional positions:
Zr: 0.9463 0.9463 0.0000  2 As 2.69
Zr: 0.5537 0.5537 0.0000  2 As 2.69
As: 0.7500 0.2500 0.5000  4 Zr 2.69
La: 0.2500 0.7500 0.5000  4 As 3.27, 8 Zr 3.43-3.60, 2 La 3.52

---

No. 7
LiAs2: optimized geometry, PBE-GGA.

Total magnetization (Bohr magnetons per cell): 0.00
ρ (g cm⁻³): 4.36
Fermi-level density of states (states/eV per atom): 0.277
Volume (Å³/cell): 119.4
Formation enthalpy at 0 K (eV/atom): -0.17

a = 5.3644 Å, b = 5.3644 Å, c = 6.6678 Å
α = 71.07°, β = 71.07°, γ = 41.59°
With the nearest neighbours (Å) after each atom.
Fractional positions:
As: 0.6348 0.6348 0.6586  1 As 2.38
Li: 0.0605 0.0605 0.4261  6 As 2.66-2.78
As: 0.3528 0.3528 0.3297  3 As 2.55-2.59, 1 Li 2.78
Li: 0.7391 0.7391 0.9872  6 As 2.74-3.05
As: 0.3914 0.3914 0.6874  2 As 2.38-2.55
As: 0.9881 0.9881 0.0776  2 As 2.59, 2 Li 2.66-2.77

---

No. 8
LiAs4: optimized geometry, PBE-GGA.

Total magnetization (Bohr magnetons per cell): 0.00
Energy relative to the lowest polymorph listed for this composition (meV per atom): 127
ρ (g cm⁻³): 4.63
Fermi-level density of states (states/eV per atom): 0.506
Volume (Å³/cell): 110.1
Formation enthalpy at 0 K (eV/atom): 0.02

a = 5.5426 Å, b = 5.5426 Å, c = 5.5426 Å
α = 124.96°, β = 124.96°, γ = 81.60°
With the nearest neighbours (Å) after each atom.
Fractional positions:
As: 0.7500 0.2500 0.5000  4 As 2.66
As: 0.6628 0.6628 0.0000  5 As 2.66-2.73, 1 Li 2.83
Li: 0.0000 0.0000 0.0000  2 As 2.83
As: 0.3372 0.3372 0.0000  5 As 2.66-2.73, 1 Li 2.83
As: 0.2500 0.7500 0.5000  4 As 2.66

---

No. 9
LiAs2: optimized geometry, PBE-GGA.

Total magnetization (Bohr magnetons per cell): 0.00
ρ (g cm⁻³): 4.09
Fermi-level density of states (states/eV per atom): 0.343
Volume (Å³/cell): 127.2
Formation enthalpy at 0 K (eV/atom): -0.15

a = 4.9609 Å, b = 4.9609 Å, c = 7.8511 Å
α = 73.66°, β = 73.66°, γ = 43.68°
With the nearest neighbours (Å) after each atom.
Fractional positions:
Li: 0.6773 0.6773 0.3745  6 As 2.64-2.76
As: 0.9660 0.9660 0.3681  1 As 2.34
Li: 0.3227 0.3227 0.6255  6 As 2.64-2.76
As: 0.0340 0.0340 0.6319  1 As 2.34
As: 0.3450 0.3450 0.9595  2 As 2.49, 1 Li 2.69
As: 0.6550 0.6550 0.0405  2 As 2.49, 1 Li 2.69

---

No. 10
LiAs4: optimized geometry, PBE-GGA.

Total magnetization (Bohr magnetons per cell): 0.00
Energy relative to the lowest polymorph listed for this composition (meV per atom): 0
ρ (g cm⁻³): 4.49
Fermi-level density of states (states/eV per atom): 0.501
Volume (Å³/cell): 226.7
Formation enthalpy at 0 K (eV/atom): -0.11

a = 5.1891 Å, b = 5.3101 Å, c = 8.3209 Å
α = 98.60°, β = 90.00°, γ = 90.00°
With the nearest neighbours (Å) after each atom.
Fractional positions:
Li: 0.5000 0.0000 0.5000  6 As 2.69-2.80
As: 0.1400 0.6116 0.4109  3 As 2.47-2.50
As: 0.6963 0.7866 0.7471  2 As 2.47-2.48, 2 Li 2.69-2.74
Li: 0.0000 0.0000 0.0000  6 As 2.69-2.80
As: 0.6400 0.3884 0.0891  3 As 2.47-2.50
As: 0.3600 0.6116 0.9109  3 As 2.47-2.50
As: 0.3037 0.2134 0.2529  2 As 2.47-2.48, 2 Li 2.69-2.74
As: 0.8600 0.3884 0.5891  3 As 2.47-2.50
As: 0.8037 0.7866 0.2471  2 As 2.47-2.48, 2 Li 2.69-2.74
As: 0.1963 0.2134 0.7529  2 As 2.47-2.48, 2 Li 2.69-2.74

---

No. 11
LiAs: optimized geometry, PBE-GGA.

Total magnetization (Bohr magnetons per cell): 0.00
ρ (g cm⁻³): 3.75
Fermi-level density of states (states/eV per atom): 0.157
Volume (Å³/cell): 72.4
Formation enthalpy at 0 K (eV/atom): -0.29

a = 3.7639 Å, b = 3.7647 Å, c = 5.1106 Å
α = 90.00°, β = 90.00°, γ = 90.00°
With the nearest neighbours (Å) after each atom.
Fractional positions:
As: 0.5000 0.5000 0.7775  2 Li 2.44-2.67
Li: 0.5000 0.5000 0.2545  2 As 2.44-2.67
As: 0.0000 0.0000 0.9725  2 Li 2.44-2.67
Li: 0.0000 0.0000 0.4955  2 As 2.44-2.67

---

No. 12
LiAs3: optimized geometry, PBE-GGA.

Total magnetization (Bohr magnetons per cell): 0.00
Energy relative to the lowest polymorph listed for this composition (meV per atom): 48
ρ (g cm⁻³): 4.76
Fermi-level density of states (states/eV per atom): 0.216
Volume (Å³/cell): 161.7
Formation enthalpy at 0 K (eV/atom): -0.05

a = 6.0755 Å, b = 6.0755 Å, c = 5.0596 Å
α = 90.00°, β = 90.00°, γ = 120.00°
With the nearest neighbours (Å) after each atom.
Fractional positions:
Li: 0.6667 0.3333 0.7500  12 As 2.92-3.05
Li: 0.3333 0.6667 0.2500  12 As 2.92-3.05
As: 0.1949 0.8051 0.7500  2 As 2.52
As: 0.6103 0.8051 0.7500  2 As 2.52
As: 0.8051 0.6103 0.2500  2 As 2.52
As: 0.8051 0.1949 0.2500  2 As 2.52
As: 0.3897 0.1949 0.2500  2 As 2.52
As: 0.1949 0.3897 0.7500  2 As 2.52

---

No. 13
LiAs3: optimized geometry, PBE-GGA.

Total magnetization (Bohr magnetons per cell): 0.00
Energy relative to the lowest polymorph listed for this composition (meV per atom): 148
ρ (g cm⁻³): 5.26
Fermi-level density of states (states/eV per atom): 0.382
Volume (Å³/cell): 73.2
Formation enthalpy at 0 K (eV/atom): 0.05

a = 5.3014 Å, b = 5.3014 Å, c = 5.3014 Å
α = 116.23°, β = 116.23°, γ = 116.23°
With the nearest neighbours (Å) after each atom.
Fractional positions:
As: 0.5000 0.5000 0.0000  2 Li 2.80, 6 As 2.80-3.13
As: 0.5000 0.0000 0.5000  6 As 2.80-3.13, 2 Li 2.80
Li: 0.0000 0.5000 0.5000  6 As 2.80, 2 Li 3.13
As: 0.0000 0.0000 0.0000  6 As 2.80-3.13, 2 Li 2.80

---

No. 14
LiAs7: optimized geometry, PBE-GGA.

Total magnetization (Bohr magnetons per cell): 0.00
ρ (g cm⁻³): 5.83
Fermi-level density of states (states/eV per atom): 0.531
Volume (Å³/cell): 151.3
Formation enthalpy at 0 K (eV/atom): 0.28

a = 5.9817 Å, b = 5.9817 Å, c = 5.9817 Å
α = 60.00°, β = 60.00°, γ = 60.00°
With the nearest neighbours (Å) after each atom.
Fractional positions:
As: 0.0000 0.5000 0.0000  10 As 2.99, 2 Li 2.99
As: 0.5000 0.5000 0.0000  10 As 2.99, 2 Li 2.99
Li: 0.0000 0.0000 0.0000  12 As 2.99
As: 0.5000 0.0000 0.0000  10 As 2.99, 2 Li 2.99
As: 0.0000 0.0000 0.5000  10 As 2.99, 2 Li 2.99
As: 0.0000 0.5000 0.5000  10 As 2.99, 2 Li 2.99
As: 0.5000 0.0000 0.5000  10 As 2.99, 2 Li 2.99
As: 0.5000 0.5000 0.5000  12 As 2.99

---

No. 15
LiAs3: optimized geometry, PBE-GGA.

Total magnetization (Bohr magnetons per cell): 0.00
Energy relative to the lowest polymorph listed for this composition (meV per atom): 145
ρ (g cm⁻³): 5.14
Fermi-level density of states (states/eV per atom): 0.407
Volume (Å³/cell): 149.8
Formation enthalpy at 0 K (eV/atom): 0.04

a = 4.1814 Å, b = 4.1814 Å, c = 9.8946 Å
α = 90.00°, β = 90.00°, γ = 120.00°
With the nearest neighbours (Å) after each atom.
Fractional positions:
As: 0.6667 0.3333 0.0707  6 As 2.79-3.00, 3 Li 3.00
As: 0.3333 0.6667 0.5707  6 As 2.79-3.00, 3 Li 3.00
As: 0.0000 0.0000 0.2500  3 Li 2.41
Li: 0.6667 0.3333 0.7500  3 As 2.41
Li: 0.3333 0.6667 0.2500  3 As 2.41
As: 0.6667 0.3333 0.4293  6 As 2.79-3.00, 3 Li 3.00
As: 0.0000 0.0000 0.7500  3 Li 2.41
As: 0.3333 0.6667 0.9293  6 As 2.79-3.00, 3 Li 3.00

---

No. 16
LiAs2: optimized geometry, PBE-GGA.

Total magnetization (Bohr magnetons per cell): 0.00
ρ (g cm⁻³): 4.15
Fermi-level density of states (states/eV per atom): 0.285
Volume (Å³/cell): 62.7
Formation enthalpy at 0 K (eV/atom): -0.24

a = 3.7735 Å, b = 3.7735 Å, c = 5.9737 Å
α = 120.70°, β = 120.70°, γ = 78.24°
With the nearest neighbours (Å) after each atom.
Fractional positions:
As: 0.8699 0.8699 0.6048  3 As 2.53-2.63, 2 Li 2.73-2.78
Li: 0.5000 0.5000 0.0000  4 As 2.73-2.78
As: 0.1301 0.1301 0.3952  3 As 2.53-2.63, 2 Li 2.73-2.78

---

No. 17
LiAs: optimized geometry, PBE-GGA.

Total magnetization (Bohr magnetons per cell): 0.00
ρ (g cm⁻³): 2.91
Fermi-level density of states (states/eV per atom): 1.238
Volume (Å³/cell): 187.1
Formation enthalpy at 0 K (eV/atom): 0.45

a = 5.7199 Å, b = 5.7199 Å, c = 5.7199 Å
α = 90.00°, β = 90.00°, γ = 90.00°
With the nearest neighbours (Å) after each atom.
Fractional positions:
As: 0.0000 0.0000 0.0000  4 Li 2.48
As: 0.0000 0.5000 0.5000  4 Li 2.48
Li: 0.7500 0.2500 0.7500  4 As 2.48
Li: 0.2500 0.2500 0.2500  4 As 2.48
As: 0.5000 0.5000 0.0000  4 Li 2.48
As: 0.5000 0.0000 0.5000  4 Li 2.48
Li: 0.2500 0.7500 0.7500  4 As 2.48
Li: 0.7500 0.7500 0.2500  4 As 2.48

---

No. 18
LiAs3: optimized geometry, PBE-GGA.

Total magnetization (Bohr magnetons per cell): 0.00
Energy relative to the lowest polymorph listed for this composition (meV per atom): 175
ρ (g cm⁻³): 5.09
Fermi-level density of states (states/eV per atom): 0.349
Volume (Å³/cell): 75.6
Formation enthalpy at 0 K (eV/atom): 0.07

a = 2.8380 Å, b = 4.3538 Å, c = 6.1189 Å
α = 90.00°, β = 90.00°, γ = 90.00°
With the nearest neighbours (Å) after each atom.
Fractional positions:
As: 0.5000 0.5000 0.7935  1 As 2.53
As: 0.5000 0.5000 0.2065  1 As 2.53
As: 0.0000 0.0000 0.5000  10 As 2.84-3.16, 2 Li 3.06
Li: 0.0000 0.0000 0.0000  2 Li 2.84, 10 As 2.89-3.06

---

No. 19
LiAs: optimized geometry, PBE-GGA.

Total magnetization (Bohr magnetons per cell): 0.00
ρ (g cm⁻³): 3.57
Fermi-level density of states (states/eV per atom): 0.215
Volume (Å³/cell): 114.3
Formation enthalpy at 0 K (eV/atom): -0.41

a = 4.9676 Å, b = 4.9676 Å, c = 7.3086 Å
α = 61.61°, β = 61.61°, γ = 47.90°
With the nearest neighbours (Å) after each atom.
Fractional positions:
As: 0.6538 0.6538 0.6650  3 As 2.49-2.70, 1 Li 2.62
Li: 0.2142 0.2142 0.0334  5 As 2.64-2.88, 1 Li 2.95
Li: 0.9738 0.9738 0.5718  6 As 2.62-2.89
As: 0.9721 0.9721 0.9350  4 Li 2.64-2.88, 3 As 2.70-2.82
As: 0.6523 0.6523 0.3247  1 As 2.49, 7 Li 2.63-2.77
Li: 0.3671 0.3671 0.3034  3 As 2.67-2.75, 1 Li 2.95

---

No. 20
LiAs: optimized geometry, PBE-GGA.

Total magnetization (Bohr magnetons per cell): 0.00
ρ (g cm⁻³): 3.60
Fermi-level density of states (states/eV per atom): 0.434
Volume (Å³/cell): 75.6
Formation enthalpy at 0 K (eV/atom): 0.00

a = 2.8715 Å, b = 2.8715 Å, c = 10.5894 Å
α = 90.00°, β = 90.00°, γ = 120.00°
With the nearest neighbours (Å) after each atom.
Fractional positions:
Li: 0.6667 0.3333 0.7508  3 As 2.68, 6 Li 2.87
Li: 0.0000 0.0000 0.4992  3 As 2.68, 6 Li 2.87
As: 0.6667 0.3333 0.3009  3 Li 2.68, 6 As 2.87
As: 0.0000 0.0000 0.9491  3 Li 2.68, 6 As 2.87